1.
{
  "formula": "AlTcW2",
  "functional": "PBE",
  "state": "optimized geometry",
  "total_magnetization_mub_per_atom": 0.00,
  "dft_energy_ev_per_atom": -9.80,
  "density_g_cm3": 13.35,
  "cell": [[4.4467, 0.0000, 0.0000], [0.0000, 4.4467, 0.0000], [0.0000, 0.0000, 3.0986]],
  "species": ["Al", "Tc", "W", "W"],
  "frac_coords": [[0.0000, 0.0000, 0.0000], [0.5000, 0.5000, 0.0000], [0.0000, 0.5000, 0.5000], [0.5000, 0.0000, 0.5000]]
}


2.
{
  "formula": "AlTcW2",
  "functional": "PBE",
  "state": "optimized geometry",
  "total_magnetization_mub_per_atom": 0.00,
  "dft_energy_ev_per_atom": -10.02,
  "density_g_cm3": 13.24,
  "cell": [[1.5761, -2.2464, 0.0000], [1.5761, 2.2464, 0.0000], [0.0000, 0.0000, 8.7225]],
  "species": ["Al", "Tc", "W", "W"],
  "frac_coords": [[0.0000, 0.0000, 0.0000], [0.5000, 0.5000, 0.2403], [0.0000, 0.0000, 0.4894], [0.5000, 0.5000, 0.7474]]
}